# CrSnW3, relaxed, DFT PBE
data_CrSnW3
_cell_length_a 4.551
_cell_length_b 4.551
_cell_length_c 4.551
_cell_angle_alpha 90.00
_cell_angle_beta 90.00
_cell_angle_gamma 90.00
_space_group_name_H-M_alt 'P m -3 m'
_space_group_IT_number 221
_space_group_name_Hall '-P 4 2 3'
loop_
_atom_site_label
_atom_site_type_symbol
_atom_site_fract_x
_atom_site_fract_y
_atom_site_fract_z
_atom_site_occupancy
Cr1 Cr 0.000 0.000 0.000 1
Sn1 Sn 0.500 0.500 0.500 1
W1 W 0.000 0.000 0.500 1
# - energy of formation from the pure elements (eV/atom) = 1.396